1.
Below is crystalline Lu2Te3 at its relaxed geometry, with properties calculated at the PBEsol level.

POSCAR file:
```
Lu2Te3
1.0
7.287 -0.012 0.000
-2.422 6.873 0.000
-2.433 -3.431 12.597
Te Lu
12 8
direct
0.993 0.493 0.500
0.666 0.169 0.832
0.257 0.257 0.000
0.337 0.834 0.168
0.507 0.007 0.500
0.743 0.743 0.000
0.419 0.416 0.332
0.913 0.916 0.332
0.831 0.334 0.168
0.584 0.581 0.668
0.166 0.663 0.832
0.084 0.087 0.668
0.918 0.918 0.835
0.500 0.000 0.999
0.250 0.250 0.499
0.000 0.500 0.001
0.332 0.832 0.665
0.082 0.082 0.165
0.168 0.668 0.335
0.750 0.750 0.501
```

## Properties
crystal system	orthorhombic
density	7.72	g/cm³
formation energy (no corrections)	-30.5	kcal/mol of atoms


2.
Below is crystalline BaSr3B at its relaxed geometry, with properties calculated at the PBEsol level.

POSCAR file:
```
BaSr3B
1.0
-1.632 -3.270 4.620
-1.083 -4.539 -3.595
5.556 -1.845 0.656
Sr Ba B
3 1 1
direct
0.500 0.000 0.000
0.000 0.500 0.000
0.000 0.000 0.500
0.500 0.500 0.500
0.000 0.000 0.000
```

## Properties
crystal system	cubic
density	3.34	g/cm³
E_form	0.342	eV per atom


3.
Below is crystalline TiNi at its relaxed geometry, with properties calculated at the PBEsol level.

POSCAR file:
```
TiNi
1.0
2.885 0.000 -0.034
0.000 3.984 0.000
-0.941 0.000 4.618
Ni Ti
2 2
direct
0.063 0.250 0.171
0.937 0.750 0.829
0.614 0.750 0.285
0.386 0.250 0.715
```

## Properties
crystal system	monoclinic
density	6.68	g/cm³
E_form	-0.404	eV per atom


4.
Below is crystalline LaSc2CrSi at its relaxed geometry, with properties calculated at the PBEsol level.

POSCAR file:
```
LaSc2CrSi
1.0
-1.685 -1.544 -4.417
-1.479 -4.277 2.060
-5.078 2.301 1.132
Sc La Cr Si
2 1 1 1
direct
0.000 0.500 0.000
0.500 0.000 0.000
0.000 0.000 0.500
0.500 0.500 0.500
0.000 0.000 0.000
```

## Properties
crystal system	tetragonal
density	3.65	g/cm³
formation energy (no corrections)	9.9	kcal/mol of atoms


5.
Below is crystalline K2RuBr at its relaxed geometry, with properties calculated at the PBEsol level.

POSCAR file:
```
K2RuBr
1.0
-2.701 -0.715 -1.802
2.399 -4.931 -1.639
-1.602 -1.304 5.985
K Ru Br
2 1 1
direct
0.987 0.162 0.973
0.263 0.582 0.525
0.542 0.703 0.085
0.708 0.053 0.417
```

## Properties
crystal system	monoclinic
density	3.78	g/cm³
formation energy (no corrections)	9.3	kcal/mol of atoms


6.
Below is crystalline Ti3Bi at its relaxed geometry, with properties calculated at the PBEsol level.

POSCAR file:
```
Ti3Bi
1.0
-0.440 -1.762 4.402
-4.000 -3.889 -1.957
5.741 -1.414 0.007
Bi Ti
2 6
direct
0.750 0.333 0.667
0.250 0.667 0.333
0.250 0.159 0.841
0.750 0.317 0.159
0.750 0.841 0.159
0.250 0.159 0.317
0.250 0.683 0.841
0.750 0.841 0.683
```

## Properties
crystal system	hexagonal
density	8.12	g/cm³
E_form	-0.137	eV per atom


What did the fifth record say?
Below is crystalline K2RuBr at its relaxed geometry, with properties calculated at the PBEsol level.

POSCAR file:
```
K2RuBr
1.0
-2.701 -0.715 -1.802
2.399 -4.931 -1.639
-1.602 -1.304 5.985
K Ru Br
2 1 1
direct
0.987 0.162 0.973
0.263 0.582 0.525
0.542 0.703 0.085
0.708 0.053 0.417
```

## Properties
crystal system	monoclinic
density	3.78	g/cm³
formation energy (no corrections)	9.3	kcal/mol of atoms


- Which value of density does entry 1 give?
  7.72 g/cm³